# 1
Density functional theory data (PBEsol) for an optimized crystal structure of CaHfI2O.

abc: 3.953 5.853 5.853
angles: 90.00 90.00 90.00
Last column: magnetic moment on the atom in μB.
Sites, in units of the cell vectors:
Hf (0.500, 0.500, 0.500)  0.46
Ca (0.000, 0.000, 0.000)  0.03
O (0.500, 0.000, 0.000)  0.23
I (0.000, 0.500, 0.000)  -0.01
I (0.000, 0.000, 0.500)  -0.01

Raw formation energy   -30.3 kJ/mol of atoms
Volume   135.4 Å³ per cell
D(E_F)   0.9741 states/eV/atom


# 2
Density functional theory data (PBEsol) for an optimized crystal structure of KTl2Au.

abc: 4.728 4.726 6.823
angles: 69.75 69.73 59.98
Sites, in units of the cell vectors:
Tl (0.198, 0.198, 0.405)
Tl (0.971, 0.970, 0.089)
Au (0.576, 0.576, 0.271)
K (0.755, 0.755, 0.735)

Energy of formation   -0.099 eV per atom
Volume   121.0 Å³ per cell
D(E_F)   0.6096 states/eV/atom


# 3
Density functional theory data (PBEsol) for an optimized crystal structure of TcNiNF2.

abc: 3.759 4.010 4.010
angles: 90.00 90.00 90.00
Last column: magnetic moment on the atom in μB.
Sites, in units of the cell vectors:
Ni (0.500, 0.500, 0.500)  0.86
F (0.000, 0.000, 0.500)  0.01
F (0.000, 0.500, 0.000)  0.01
N (0.500, 0.000, 0.000)  0.01
Tc (0.000, 0.000, 0.000)  0.09

Raw formation energy   -15.2 kJ/mol of atoms
Volume   60.4 Å³ per cell
D(E_F)   2.0945 states/eV/atom


# 4
Density functional theory data (PBEsol) for an optimized crystal structure of ZrZn2Tc.

abc: 3.854 3.854 4.940
angles: 112.96 112.96 90.00
Sites, in units of the cell vectors:
Tc (0.000, 0.000, 0.000)
Zr (0.500, 0.500, 0.000)
Zn (0.250, 0.750, 0.500)
Zn (0.750, 0.250, 0.500)

Energy of formation   -0.230 eV per atom
Volume   61.2 Å³ per cell
D(E_F)   0.3880 states/eV/atom


# 5
Density functional theory data (PBEsol) for an optimized crystal structure of KBe3Pb.

abc: 4.919 4.919 4.919
angles: 90.00 90.00 90.00
Sites, in units of the cell vectors:
K (0.500, 0.500, 0.500)
Be (0.000, 0.500, 0.000)
Be (0.500, 0.000, 0.000)
Be (0.000, 0.000, 0.500)
Pb (0.000, 0.000, 0.000)

Energy of formation   1.216 eV per atom
Volume   119.0 Å³ per cell
D(E_F)   0.6652 states/eV/atom


# 6
Density functional theory data (PBEsol) for an optimized crystal structure of Y2Si2H.

abc: 4.173 6.908 6.908
angles: 90.00 90.00 90.00
Sites, in units of the cell vectors:
Si (0.500, 0.117, 0.617)
Si (0.500, 0.383, 0.117)
Si (0.500, 0.617, 0.883)
Si (0.500, 0.883, 0.383)
Y (0.000, 0.180, 0.320)
Y (0.000, 0.320, 0.820)
Y (0.000, 0.680, 0.180)
Y (0.000, 0.820, 0.680)
H (0.000, 0.500, 0.500)
H (0.000, 0.000, 0.000)

Volume   199.1 Å³ per cell
D(E_F)   0.3984 states/eV/atom
DFT total energy   -6.21 eV per atom


# 7
Density functional theory data (PBEsol) for an optimized crystal structure of Li3InN.

abc: 4.050 4.050 4.050
angles: 90.00 90.00 90.00
Sites, in units of the cell vectors:
N (0.000, 0.000, 0.000)
Li (0.000, 0.500, 0.000)
Li (0.000, 0.000, 0.500)
Li (0.500, 0.000, 0.000)
In (0.500, 0.500, 0.500)

Raw formation energy   -16.6 kJ/mol of atoms
Volume   66.4 Å³ per cell
D(E_F)   0.3971 states/eV/atom


# 8
Density functional theory data (PBEsol) for an optimized crystal structure of RbN2Cl.

abc: 5.733 5.733 5.733
angles: 96.85 116.13 116.13
Sites, in units of the cell vectors:
N (0.841, 0.466, 0.125)
N (0.659, 0.375, 0.534)
N (0.159, 0.284, 0.625)
N (0.341, 0.875, 0.716)
Rb (0.500, 0.750, 0.250)
Rb (0.000, 0.000, 0.000)
Cl (0.000, 0.500, 0.500)
Cl (0.500, 0.250, 0.750)

Raw formation energy   147.6 kJ/mol of atoms
Volume   140.0 Å³ per cell
D(E_F)   0.1746 states/eV/atom


# 9
Density functional theory data (PBEsol) for an optimized crystal structure of CuRuBr2.

abc: 4.699 4.699 4.699
angles: 60.00 60.00 60.00
Last column: magnetic moment on the atom in μB.
Sites, in units of the cell vectors:
Cu (0.500, 0.500, 0.500)  0.17
Br (0.250, 0.250, 0.250)  0.24
Br (0.000, 0.000, 0.000)  0.20
Ru (0.750, 0.750, 0.750)  2.29

Raw formation energy   109.6 kJ/mol of atoms
Volume   73.4 Å³ per cell
D(E_F)   1.1456 states/eV/atom


# 10
Density functional theory data (PBEsol) for an optimized crystal structure of RbMn2Ge2.

abc: 4.010 4.010 7.387
angles: 105.75 105.75 90.00
Last column: magnetic moment on the atom in μB.
Sites, in units of the cell vectors:
Mn (0.250, 0.750, 0.500)  2.52
Mn (0.750, 0.250, 0.500)  2.52
Rb (0.000, 0.000, 0.000)  -0.01
Ge (0.655, 0.655, 0.311)  -0.16
Ge (0.345, 0.345, 0.689)  -0.16

Energy of formation   0.120 eV per atom
Volume   109.7 Å³ per cell
D(E_F)   0.4422 states/eV/atom


# 11
Density functional theory data (PBEsol) for an optimized crystal structure of BeBIr2.

abc: 3.876 3.876 3.876
angles: 60.00 60.00 60.00
Sites, in units of the cell vectors:
Ir (0.750, 0.750, 0.750)
Ir (0.250, 0.250, 0.250)
B (0.500, 0.500, 0.500)
Be (0.000, 0.000, 0.000)

Energy of formation   -0.310 eV per atom
Volume   41.2 Å³ per cell
D(E_F)   0.3662 states/eV/atom


# 12
Density functional theory data (PBEsol) for an optimized crystal structure of Ag2Sb.

abc: 4.259 5.860 9.433
angles: 90.00 90.00 90.00
Sites, in units of the cell vectors:
Ag (0.750, 0.386, 0.758)
Ag (0.750, 0.886, 0.742)
Ag (0.250, 0.633, 0.923)
Ag (0.750, 0.367, 0.077)
Ag (0.750, 0.867, 0.423)
Ag (0.250, 0.133, 0.577)
Ag (0.250, 0.614, 0.242)
Ag (0.250, 0.114, 0.258)
Sb (0.750, 0.862, 0.106)
Sb (0.250, 0.638, 0.606)
Sb (0.250, 0.138, 0.894)
Sb (0.750, 0.362, 0.394)

Raw formation energy   5.7 kJ/mol of atoms
Volume   235.4 Å³ per cell
D(E_F)   0.3017 states/eV/atom


# 13
Density functional theory data (PBEsol) for an optimized crystal structure of LiMg2Cd.

abc: 4.288 4.288 5.282
angles: 113.94 113.94 90.00
Sites, in units of the cell vectors:
Cd (0.500, 0.500, 0.000)
Li (0.250, 0.750, 0.500)
Mg (0.000, 0.000, 0.000)
Mg (0.750, 0.250, 0.500)

Energy of formation   -0.127 eV per atom
Volume   79.5 Å³ per cell
D(E_F)   0.4330 states/eV/atom


# 14
Density functional theory data (PBEsol) for an optimized crystal structure of Ba2Pb.

abc: 5.977 5.977 7.938
angles: 90.00 90.00 120.00
Sites, in units of the cell vectors:
Ba (0.000, 0.000, 0.000)
Ba (0.333, 0.667, 0.250)
Ba (0.667, 0.333, 0.750)
Ba (0.000, 0.000, 0.500)
Pb (0.667, 0.333, 0.250)
Pb (0.333, 0.667, 0.750)

Energy of formation   -0.532 eV per atom
Volume   245.5 Å³ per cell
D(E_F)   0.1754 states/eV/atom


# 15
Density functional theory data (PBEsol) for an optimized crystal structure of YAl3.

abc: 4.604 6.195 6.195
angles: 120.00 90.00 90.00
Sites, in units of the cell vectors:
Al (0.250, 0.297, 0.148)
Al (0.250, 0.852, 0.148)
Al (0.250, 0.852, 0.703)
Al (0.750, 0.148, 0.852)
Al (0.750, 0.703, 0.852)
Al (0.750, 0.148, 0.297)
Y (0.750, 0.667, 0.333)
Y (0.250, 0.333, 0.667)

Energy of formation   -0.450 eV per atom
Volume   153.0 Å³ per cell
D(E_F)   0.4103 states/eV/atom


# 16
Density functional theory data (PBEsol) for an optimized crystal structure of CsCd3Ni.

abc: 5.122 5.122 5.122
angles: 90.00 90.00 90.00
Sites, in units of the cell vectors:
Cs (0.500, 0.500, 0.500)
Cd (0.500, 0.000, 0.000)
Cd (0.000, 0.500, 0.000)
Cd (0.000, 0.000, 0.500)
Ni (0.000, 0.000, 0.000)

Energy of formation   0.071 eV per atom
Volume   134.4 Å³ per cell
D(E_F)   0.4426 states/eV/atom


# 17
Density functional theory data (PBEsol) for an optimized crystal structure of MgAl2Rh.

abc: 2.898 4.712 4.712
angles: 109.34 90.00 90.00
Sites, in units of the cell vectors:
Al (0.000, 0.500, 0.000)
Al (0.000, 0.000, 0.500)
Mg (0.500, 0.000, 0.000)
Rh (0.500, 0.500, 0.500)

Energy of formation   -0.338 eV per atom
Volume   60.7 Å³ per cell
D(E_F)   0.4438 states/eV/atom


# 18
Density functional theory data (PBEsol) for an optimized crystal structure of Fe46B3C9.

abc: 7.285 7.293 12.615
angles: 73.50 73.39 60.13
Last column: magnetic moment on the atom in μB.
Sites, in units of the cell vectors:
C (0.641, 0.638, 0.638)  -0.12
C (0.642, 0.083, 0.639)  -0.12
C (0.362, 0.918, 0.361)  -0.12
C (0.417, 0.862, 0.862)  -0.12
C (0.863, 0.416, 0.862)  -0.12
C (0.916, 0.362, 0.362)  -0.12
C (0.138, 0.138, 0.138)  -0.11
C (0.139, 0.585, 0.139)  -0.12
C (0.584, 0.139, 0.139)  -0.12
Fe (0.831, 0.168, 0.168)  1.94
Fe (0.833, 0.500, 0.500)  1.88
Fe (0.075, 0.077, 0.307)  1.59
Fe (0.176, 0.829, 0.829)  1.94
Fe (0.691, 0.690, 0.927)  1.66
Fe (0.002, 0.655, 0.003)  1.98
Fe (0.574, 0.043, 0.809)  1.65
Fe (0.830, 0.830, 0.169)  1.98
Fe (0.159, 0.844, 0.497)  1.98
Fe (0.499, 0.837, 0.500)  1.93
Fe (0.501, 0.156, 0.502)  1.99
Fe (0.168, 0.832, 0.168)  1.92
Fe (0.997, 0.996, 0.997)  2.11
Fe (0.426, 0.427, 0.190)  1.64
Fe (0.667, 0.332, 0.668)  1.92
Fe (0.335, 0.670, 0.670)  1.93
Fe (0.661, 0.338, 0.000)  1.98
Fe (0.169, 0.168, 0.831)  1.92
Fe (0.625, 0.626, 0.126)  2.71
Fe (0.545, 0.072, 0.308)  1.64
Fe (0.461, 0.923, 0.692)  1.58
Fe (0.308, 0.308, 0.076)  1.59
Fe (0.925, 0.456, 0.692)  1.64
Fe (0.377, 0.375, 0.876)  2.69
Fe (0.336, 0.000, 0.000)  1.92
Fe (0.071, 0.545, 0.308)  1.64
Fe (0.338, 0.661, 0.000)  1.96
Fe (0.577, 0.575, 0.809)  1.59
Fe (0.424, 0.960, 0.192)  1.58
Fe (0.959, 0.424, 0.192)  1.59
Fe (0.675, 0.330, 0.329)  1.99
Fe (0.927, 0.930, 0.690)  1.71
Fe (0.807, 0.810, 0.574)  1.64
Fe (0.667, 0.669, 0.331)  1.97
Fe (0.189, 0.191, 0.426)  1.63
Fe (0.328, 0.676, 0.329)  1.98
Fe (0.047, 0.570, 0.810)  1.71
Fe (0.836, 0.163, 0.500)  1.93
Fe (0.000, 0.335, 0.000)  1.92
Fe (0.876, 0.876, 0.375)  2.69
Fe (0.333, 0.324, 0.671)  1.97
Fe (0.487, 0.500, 0.500)  2.13
Fe (0.128, 0.125, 0.625)  2.67
Fe (0.829, 0.176, 0.829)  1.98
Fe (0.152, 0.500, 0.500)  2.01
Fe (0.655, 0.002, 0.003)  1.99
B (0.365, 0.364, 0.363)  -0.14
B (0.092, 0.637, 0.637)  -0.14
B (0.866, 0.864, 0.865)  -0.14

Energy of formation   -0.050 eV per atom
Volume   548.8 Å³ per cell
D(E_F)   1.1005 states/eV/atom


# 19
Density functional theory data (PBEsol) for an optimized crystal structure of TaNiAs2.

abc: 3.374 4.583 4.792
angles: 118.57 110.61 90.00
Sites, in units of the cell vectors:
As (0.284, 0.284, 0.567)
As (0.716, 0.716, 0.433)
Ta (0.500, 0.000, 0.000)
Ni (0.000, 0.500, 0.000)

Energy of formation   -0.063 eV per atom
Volume   59.6 Å³ per cell
D(E_F)   0.8153 states/eV/atom


# 20
Density functional theory data (PBEsol) for an optimized crystal structure of ScSbTeI2.

abc: 5.735 5.735 5.855
angles: 90.00 90.00 90.00
Last column: magnetic moment on the atom in μB.
Sites, in units of the cell vectors:
I (0.000, 0.500, 0.000)  -0.01
I (0.500, 0.000, 0.000)  -0.01
Sc (0.500, 0.500, 0.500)  0.69
Te (0.000, 0.000, 0.000)  0.02
Sb (0.000, 0.000, 0.500)  -0.07

Raw formation energy   50.2 kJ/mol of atoms
Volume   192.6 Å³ per cell
D(E_F)   1.0402 states/eV/atom